Below is an optimized crystal structure of Pa5Si5Tc2, with properties calculated at the PBE level.

Structure (CIF):
```
data_Pa5Si5Tc2
_cell_length_a 4.4908
_cell_length_b 4.4908
_cell_length_c 42.0645
_cell_angle_alpha 90.00
_cell_angle_beta 90.00
_cell_angle_gamma 120.00
_symmetry_space_group_name_H-M 'R -3 m'
_symmetry_Int_Tables_number 166
_symmetry_space_group_name_Hall '-R 3 2"'
loop_
_atom_site_label
_atom_site_type_symbol
_atom_site_fract_x
_atom_site_fract_y
_atom_site_fract_z
_atom_site_occupancy
Pa1 Pa 0.0000 0.0000 0.0000 1
Pa2 Pa 0.0000 0.0000 0.1970 1
Pa3 Pa 0.0000 0.0000 0.2712 1
Si1 Si 0.0000 0.0000 0.1008 1
Si2 Si 0.0000 0.0000 0.3644 1
Si3 Si 0.0000 0.0000 0.5000 1
Tc1 Tc 0.0000 0.0000 0.4303 1
```

Output
- final energy (eV per atom) = -8.414

---

Below is an optimized crystal structure of TcSBr2O6, with properties calculated at the PBE level.

Structure (CIF):
```
data_TcSBr2O6
_cell_length_a 4.850
_cell_length_b 4.897
_cell_length_c 6.832
_cell_angle_alpha 83.64
_cell_angle_beta 88.02
_cell_angle_gamma 88.67
_symmetry_space_group_name_H-M 'P -1'
_symmetry_Int_Tables_number 2
loop_
_symmetry_equiv_pos_as_xyz
'x,y,z'
'-x,-y,-z'
loop_
_atom_site_label
_atom_site_type_symbol
_atom_site_fract_x
_atom_site_fract_y
_atom_site_fract_z
_atom_site_occupancy
Tc1 Tc 0.000 0.000 0.000 1
S1 S 0.500 0.500 0.000 1
Br1 Br 0.351 0.660 0.573 1
O1 O 0.065 0.970 0.746 1
O2 O 0.213 0.639 0.066 1
O3 O 0.355 0.216 0.999 1
```

Output
- final energy (eV per atom) = -5.244

---

Below is an optimized crystal structure of KGa3Pb, with properties calculated at the PBE level.

Structure (CIF):
```
data_KGa3Pb
_cell_length_a 5.738
_cell_length_b 5.738
_cell_length_c 5.738
_cell_angle_alpha 90.00
_cell_angle_beta 90.00
_cell_angle_gamma 90.00
_symmetry_space_group_name_H-M 'P m -3 m'
_symmetry_Int_Tables_number 221
_symmetry_space_group_name_Hall '-P 4 2 3'
loop_
_atom_site_label
_atom_site_type_symbol
_atom_site_fract_x
_atom_site_fract_y
_atom_site_fract_z
_atom_site_occupancy
K1 K 0.000 0.000 0.000 1
Ga1 Ga 0.000 0.500 0.500 1
Pb1 Pb 0.500 0.500 0.500 1
```

Output
- ΔE to the lowest computed polymorph (meV/atom) = 0

---

Below is an optimized crystal structure of CuWSeN2, with properties calculated at the PBE level.

Structure (CIF):
```
data_CuWSeN2
_cell_length_a 3.752
_cell_length_b 3.752
_cell_length_c 4.702
_cell_angle_alpha 90.00
_cell_angle_beta 90.00
_cell_angle_gamma 90.00
_symmetry_space_group_name_H-M 'P 4/m m m'
_symmetry_Int_Tables_number 123
_symmetry_space_group_name_Hall '-P 4 2'
loop_
_atom_site_label
_atom_site_type_symbol
_atom_site_fract_x
_atom_site_fract_y
_atom_site_fract_z
_atom_site_occupancy
Cu1 Cu 0.000 0.000 0.000 1
W1 W 0.500 0.500 0.500 1
Se1 Se 0.000 0.000 0.500 1
N1 N 0.000 0.500 0.000 1
```

Output
- ΔE to the lowest computed polymorph (meV/atom) = 1461

---

Below is an optimized crystal structure of Sr2YNb, with properties calculated at the PBE level.

Structure (CIF):
```
data_Sr2YNb
_cell_length_a 8.191
_cell_length_b 8.191
_cell_length_c 8.191
_cell_angle_alpha 90.00
_cell_angle_beta 90.00
_cell_angle_gamma 90.00
_symmetry_space_group_name_H-M 'F m -3 m'
_symmetry_Int_Tables_number 225
_symmetry_space_group_name_Hall '-F 4 2 3'
loop_
_atom_site_label
_atom_site_type_symbol
_atom_site_fract_x
_atom_site_fract_y
_atom_site_fract_z
_atom_site_occupancy
Sr1 Sr 0.250 0.250 0.250 1
Y1 Y 0.000 0.000 0.000 1
Nb1 Nb 0.000 0.000 0.500 1
```

Output
- ΔE to the lowest computed polymorph (meV/atom) = 0

---

Below is an optimized crystal structure of CaGeAu, with properties calculated at the PBE level.

Structure (CIF):
```
data_CaGeAu
_cell_length_a 4.555
_cell_length_b 14.566
_cell_length_c 7.821
_cell_angle_alpha 90.00
_cell_angle_beta 90.00
_cell_angle_gamma 90.00
_symmetry_space_group_name_H-M 'P m m n'
_symmetry_Int_Tables_number 59
loop_
_symmetry_equiv_pos_as_xyz
'x,y,z'
'-x,-y,-z'
'-x+1/2,-y+1/2,z'
'x+1/2,y+1/2,-z'
'x+1/2,-y,-z'
'-x+1/2,y,z'
'-x,y+1/2,-z'
'x,-y+1/2,z'
loop_
_atom_site_label
_atom_site_type_symbol
_atom_site_fract_x
_atom_site_fract_y
_atom_site_fract_z
_atom_site_occupancy
Ca1 Ca 0.250 0.001 0.214 1
Ca2 Ca 0.250 0.250 0.296 1
Ca3 Ca 0.250 0.750 0.295 1
Ge1 Ge 0.250 0.101 0.589 1
Ge2 Ge 0.250 0.657 0.913 1
Au1 Au 0.250 0.142 0.918 1
Au2 Au 0.250 0.600 0.584 1
```

Output
- final energy (eV per atom) = -4.022

---

Below is an optimized crystal structure of In2FeCu, with properties calculated at the PBE level.

Structure (CIF):
```
data_In2FeCu
_cell_length_a 6.541
_cell_length_b 6.541
_cell_length_c 6.541
_cell_angle_alpha 90.00
_cell_angle_beta 90.00
_cell_angle_gamma 90.00
_symmetry_space_group_name_H-M 'F -4 3 m'
_symmetry_Int_Tables_number 216
_symmetry_space_group_name_Hall 'F -4 2 3'
loop_
_atom_site_label
_atom_site_type_symbol
_atom_site_fract_x
_atom_site_fract_y
_atom_site_fract_z
_atom_site_occupancy
In1 In 0.000 0.000 0.000 1
In2 In 0.250 0.250 0.250 1
Fe1 Fe 0.000 0.000 0.500 1
Cu1 Cu 0.250 0.250 0.750 1
```

Output
- ΔE to the lowest computed polymorph (meV/atom) = 251

---

Below is an optimized crystal structure of SmCo9Si4, with properties calculated at the PBE level.

Structure (CIF):
```
data_SmCo9Si4
_cell_length_a 7.724
_cell_length_b 7.724
_cell_length_c 11.450
_cell_angle_alpha 90.00
_cell_angle_beta 90.00
_cell_angle_gamma 90.00
_symmetry_space_group_name_H-M 'I 4/m c m'
_symmetry_Int_Tables_number 140
_symmetry_space_group_name_Hall '-I 4 2c'
loop_
_atom_site_label
_atom_site_type_symbol
_atom_site_fract_x
_atom_site_fract_y
_atom_site_fract_z
_atom_site_occupancy
Sm1 Sm 0.000 0.000 0.250 1
Co1 Co 0.000 0.500 0.000 1
Co2 Co 0.070 0.199 0.000 1
Co3 Co 0.130 0.370 0.180 1
Si1 Si 0.169 0.331 0.378 1
```

Output
- final energy (eV per atom) = -6.939

---

Below is an optimized crystal structure of PmAl9Ir2, with properties calculated at the PBE level.

Structure (CIF):
```
data_PmAl9Ir2
_cell_length_a 10.758
_cell_length_b 10.758
_cell_length_c 6.955
_cell_angle_alpha 90.00
_cell_angle_beta 90.00
_cell_angle_gamma 90.00
_symmetry_space_group_name_H-M 'I 41/a m d'
_symmetry_Int_Tables_number 141
loop_
_symmetry_equiv_pos_as_xyz
'x,y,z'
'-x,-y,-z'
'-y+1/4,x+3/4,z+1/4'
'y+1/4,-x+3/4,-z+1/4'
'-x+1/2,-y,z+1/2'
'x+1/2,y,-z+1/2'
'y+1/4,-x+1/4,z+3/4'
'-y+1/4,x+1/4,-z+3/4'
'x,-y,-z'
'-x,y,z'
'-y+1/4,-x+1/4,-z+3/4'
'y+1/4,x+1/4,z+3/4'
'-x+1/2,y,-z+1/2'
'x+1/2,-y,z+1/2'
'y+1/4,x+3/4,-z+1/4'
'-y+1/4,-x+3/4,z+1/4'
'x+1/2,y+1/2,z+1/2'
'-x+1/2,-y+1/2,-z+1/2'
'-y+3/4,x+1/4,z+3/4'
'y+3/4,-x+1/4,-z+3/4'
'-x,-y+1/2,z'
'x,y+1/2,-z'
'y+3/4,-x+3/4,z+1/4'
'-y+3/4,x+3/4,-z+1/4'
'x+1/2,-y+1/2,-z+1/2'
'-x+1/2,y+1/2,z+1/2'
'-y+3/4,-x+3/4,-z+1/4'
'y+3/4,x+3/4,z+1/4'
'-x,y+1/2,-z'
'x,-y+1/2,z'
'y+3/4,x+1/4,-z+3/4'
'-y+3/4,-x+1/4,z+3/4'
loop_
_atom_site_label
_atom_site_type_symbol
_atom_site_fract_x
_atom_site_fract_y
_atom_site_fract_z
_atom_site_occupancy
Pm1 Pm 0.000 0.250 0.375 1
Al1 Al 0.000 0.250 0.875 1
Al2 Al 0.121 0.050 0.683 1
Ir1 Ir 0.000 0.000 0.000 1
```

Output
- final energy (eV per atom) = -5.236

---

Below is an optimized crystal structure of Sr2Zn2Pd, with properties calculated at the PBE level.

Structure (CIF):
```
data_Sr2Zn2Pd
_cell_length_a 3.767
_cell_length_b 3.767
_cell_length_c 18.845
_cell_angle_alpha 90.00
_cell_angle_beta 90.00
_cell_angle_gamma 90.00
_symmetry_space_group_name_H-M 'I 4/m m m'
_symmetry_Int_Tables_number 139
_symmetry_space_group_name_Hall '-I 4 2'
loop_
_atom_site_label
_atom_site_type_symbol
_atom_site_fract_x
_atom_site_fract_y
_atom_site_fract_z
_atom_site_occupancy
Sr1 Sr 0.000 0.000 0.096 1
Zn1 Zn 0.000 0.500 0.250 1
Pd1 Pd 0.000 0.000 0.500 1
```

Output
- ΔE to the lowest computed polymorph (meV/atom) = 175

---

Below is an optimized crystal structure of Ba2ZnGa2, with properties calculated at the PBE level.

Structure (CIF):
```
data_Ba2ZnGa2
_cell_length_a 6.596
_cell_length_b 6.596
_cell_length_c 7.887
_cell_angle_alpha 90.00
_cell_angle_beta 90.00
_cell_angle_gamma 90.00
_symmetry_space_group_name_H-M 'I 4/m m m'
_symmetry_Int_Tables_number 139
_symmetry_space_group_name_Hall '-I 4 2'
loop_
_atom_site_label
_atom_site_type_symbol
_atom_site_fract_x
_atom_site_fract_y
_atom_site_fract_z
_atom_site_occupancy
Ba1 Ba 0.000 0.500 0.250 1
Zn1 Zn 0.000 0.000 0.000 1
Ga1 Ga 0.000 0.000 0.345 1
```

Output
- ΔE to the lowest computed polymorph (meV/atom) = 224

---

Below is an optimized crystal structure of SmYGaAu, with properties calculated at the PBE level.

Structure (CIF):
```
data_SmYGaAu
_cell_length_a 7.301
_cell_length_b 7.301
_cell_length_c 7.301
_cell_angle_alpha 90.00
_cell_angle_beta 90.00
_cell_angle_gamma 90.00
_symmetry_space_group_name_H-M 'F -4 3 m'
_symmetry_Int_Tables_number 216
_symmetry_space_group_name_Hall 'F -4 2 3'
loop_
_atom_site_label
_atom_site_type_symbol
_atom_site_fract_x
_atom_site_fract_y
_atom_site_fract_z
_atom_site_occupancy
Sm1 Sm 0.000 0.000 0.000 1
Y1 Y 0.000 0.000 0.500 1
Ga1 Ga 0.250 0.250 0.750 1
Au1 Au 0.250 0.250 0.250 1
```

Output
- ΔE to the lowest computed polymorph (meV/atom) = 31